A plane-wave DFT calculation with PBE was carried out for a relaxed TaV2Cu2S6 crystal. Values from VASP.

Structure (Quantum ESPRESSO input):
```
&SYSTEM
  ibrav = 0, nat = 11, ntyp = 4
/
ATOMIC_SPECIES
Ta 180.95 Ta.upf
V 50.94 V.upf
Cu 63.55 Cu.upf
S 32.06 S.upf
CELL_PARAMETERS angstrom
-2.0278 -5.0366 -2.1390
4.6764 0.1570 3.4873
-5.8908 2.4507 4.7571
ATOMIC_POSITIONS crystal
Ta 0.0000 0.0000 0.5000
V 0.3678 0.6322 0.5000
V 0.6322 0.3678 0.5000
Cu 0.6868 0.3132 0.0000
Cu 0.3132 0.6868 0.0000
S 0.8123 0.8123 0.7256
S 0.1210 0.4749 0.6947
S 0.1877 0.1877 0.2744
S 0.4749 0.1210 0.6947
S 0.8790 0.5251 0.3053
S 0.5251 0.8790 0.3053
```

Output
- ΔE_f (raw) (eV/atom) = -0.701
- space group = C2/m (12)